Material: CsKTl3Pt
Method: DFT, PBE
State: relaxed

a b c (Å): 8.434 8.434 8.810
angles (deg): 92.71 92.71 125.70
Atoms (fractional coordinates):
Cs: 0.241 0.759 0.750
Cs: 0.759 0.241 0.250
K: 0.087 0.913 0.250
K: 0.913 0.087 0.750
Tl: 0.246 0.345 0.481
Tl: 0.329 0.671 0.250
Tl: 0.345 0.246 0.981
Tl: 0.655 0.754 0.019
Tl: 0.671 0.329 0.750
Tl: 0.754 0.655 0.519
Pt: 0.488 0.512 0.750
Pt: 0.512 0.488 0.250

Results
Formation enthalpy at 0 K, eV/atom: -0.079
Calculated density, g/cm3: 6.4